A plane-wave DFT calculation with PBE-GGA was carried out for crystalline LaTbTlPb at its relaxed geometry.

Structure (extended XYZ):
```
4
Lattice="-1.955 -4.498 -1.541 4.471 -1.173 -2.249 0.154 0.917 5.703" Properties=species:S:1:pos:R:3 pbc="T T T"
La 1.412 -1.919 3.808
Tb 4.471 -1.173 -2.249
Tl -0.271 -3.208 1.134
Pb 2.942 -1.546 0.780
```

final energy	-0.3208	Ry per atom
DFT formation energy	-1.828	eV/f.u.
SG	I-4m2 (119)
calculated volume	29.679	Å³/atom
calculated density	9.92	g cm⁻³
DOS(E_F)	3.2	states/eV/cell